A geometry-optimized CsTaIr structure. Source: OQMD, functional GGA-PBE.

Results
- space-group type = F-43m
- size of the total moment (μB/atom) = 0.00
- total DFT energy (no corrections) (eV/atom) = -5.614

Cell: 4.656 4.656 4.656 Å, 60.00 60.00 60.00°
Element x y z (fractional)
Cs 0.250 0.250 0.250
Ir 0.750 0.750 0.750
Ta 0.000 0.000 0.000